(1)
# Sr2LiNpSe4 (PBE, optimized geometry)
data_Sr2LiNpSe4
_cell_length_a 7.3683
_cell_length_b 4.3151
_cell_length_c 7.4013
_cell_angle_alpha 90.00
_cell_angle_beta 109.14
_cell_angle_gamma 90.00
_space_group_name_H-M_alt 'P 1'
_space_group_IT_number 1
loop_
_space_group_symop_operation_xyz
'x,y,z'
loop_
_atom_site_label
_atom_site_type_symbol
_atom_site_fract_x
_atom_site_fract_y
_atom_site_fract_z
_atom_site_occupancy
Sr1 Sr 0.0000 0.0000 0.0000 1
Sr2 Sr 0.5000 0.5000 0.0000 1
Li1 Li 0.0000 0.5000 0.5000 1
Np1 Np 0.5000 0.0000 0.5000 1
Se1 Se 0.2478 0.0000 0.7309 1
Se2 Se 0.2572 0.5000 0.2712 1
Se3 Se 0.7428 0.5000 0.7288 1
Se4 Se 0.7522 0.0000 0.2691 1
# Raw formation energy in kJ/mol of formula units: -1210
# Crystal system: monoclinic
# Space-group type: No. 10

---

(2)
# K4Er3GeTe8 (PBE, optimized geometry)
data_K4Er3GeTe8
_cell_length_a 9.7200
_cell_length_b 9.7200
_cell_length_c 9.7200
_cell_angle_alpha 54.30
_cell_angle_beta 54.30
_cell_angle_gamma 54.30
_space_group_name_H-M_alt 'P 1'
_space_group_IT_number 1
loop_
_space_group_symop_operation_xyz
'x,y,z'
loop_
_atom_site_label
_atom_site_type_symbol
_atom_site_fract_x
_atom_site_fract_y
_atom_site_fract_z
_atom_site_occupancy
K1 K 0.0000 0.0000 0.0000 1
K2 K 0.0000 0.5000 0.5000 1
K3 K 0.5000 0.0000 0.5000 1
K4 K 0.5000 0.5000 0.0000 1
Er1 Er 0.0000 0.0000 0.5000 1
Er2 Er 0.0000 0.5000 0.0000 1
Er3 Er 0.5000 0.0000 0.0000 1
Ge1 Ge 0.5000 0.5000 0.5000 1
Te1 Te 0.2364 0.2364 0.2364 1
Te2 Te 0.2398 0.7307 0.7307 1
Te3 Te 0.2693 0.2693 0.7602 1
Te4 Te 0.2693 0.7602 0.2693 1
Te5 Te 0.7307 0.2398 0.7307 1
Te6 Te 0.7307 0.7307 0.2398 1
Te7 Te 0.7602 0.2693 0.2693 1
Te8 Te 0.7636 0.7636 0.7636 1
# Raw formation energy in kJ/mol of formula units: -1727
# Crystal system: trigonal
# Space-group type: No. 166

---

What DOS(E_F) values result from the calculations? In sequence: 1.244, 0.442 states/eV/atom.